No. 1
This record from Alexandria describes a geometry-optimized Tl5Cd4Hg2 structure. The functional is GGA-PBE.

a b c (Å): 11.4940 11.4940 8.7476
angles (deg): 92.06 92.06 16.11
With the nearest neighbours (Å) after each atom.
Atoms (fractional coordinates):
Tl: 0.0000 0.0000 0.0000  2 Tl 3.22, 6 Cd 3.26-3.30
Tl: 0.3262 0.3262 0.0399  3 Tl 3.22-3.48, 1 Hg 3.26, 2 Cd 3.29
Tl: 0.3740 0.3740 0.4220  3 Cd 3.09-3.36, 1 Hg 3.15, 2 Tl 3.22
Tl: 0.6260 0.6260 0.5780  3 Cd 3.09-3.36, 1 Hg 3.15, 2 Tl 3.22
Tl: 0.6738 0.6738 0.9601  3 Tl 3.22-3.48, 1 Hg 3.26, 2 Cd 3.29
Cd: 0.1127 0.1127 0.2408  1 Hg 2.95, 4 Cd 3.08-3.22, 3 Tl 3.26-3.29
Cd: 0.4963 0.4963 0.6703  5 Cd 2.99-3.22, 3 Tl 3.09-3.30
Cd: 0.5037 0.5037 0.3297  5 Cd 2.99-3.22, 3 Tl 3.09-3.30
Cd: 0.8873 0.8873 0.7592  1 Hg 2.95, 4 Cd 3.08-3.22, 3 Tl 3.26-3.29
Hg: 0.2391 0.2391 0.3274  1 Cd 2.95, 2 Tl 3.15-3.26, 2 Hg 3.22
Hg: 0.7609 0.7609 0.6726  1 Cd 2.95, 2 Tl 3.15-3.26, 2 Hg 3.22

D(E_F) ... 4.6 states/eV/f.u.
Size of the total moment ... 0.000 μB/cell
Excess energy over the best structure of this formula in the dataset ... 0.021 eV per atom
Formation enthalpy at 0 K ... 0.062 eV per atom

No. 2
This record from Alexandria describes a geometry-optimized Tl2Cd5Hg4 structure. The functional is GGA-PBE.

a b c (Å): 5.2969 7.3045 7.9484
angles (deg): 106.74 101.80 95.64
With the nearest neighbours (Å) after each atom.
Atoms (fractional coordinates):
Tl: 0.1215 0.3124 0.3814  6 Hg 3.20-3.52, 3 Cd 3.31-3.50, 1 Tl 3.38
Tl: 0.8785 0.6876 0.6186  6 Hg 3.20-3.52, 3 Cd 3.31-3.50, 1 Tl 3.38
Cd: 0.0000 0.5000 0.0000  6 Hg 3.10-3.39, 4 Cd 3.20-3.27
Cd: 0.2105 0.1456 0.7563  5 Hg 3.07-3.37, 4 Cd 3.08-3.22, 1 Tl 3.38
Cd: 0.2611 0.9487 0.0732  6 Cd 3.03-3.27, 3 Hg 3.13-3.31, 1 Tl 3.31
Cd: 0.7389 0.0513 0.9268  6 Cd 3.03-3.27, 3 Hg 3.13-3.31, 1 Tl 3.31
Cd: 0.7895 0.8544 0.2437  5 Hg 3.07-3.37, 4 Cd 3.08-3.22, 1 Tl 3.38
Hg: 0.3306 0.7893 0.4191  5 Cd 3.07-3.39, 2 Hg 3.17-3.40, 2 Tl 3.27
Hg: 0.4485 0.5973 0.8265  6 Cd 3.10-3.33, 2 Tl 3.20-3.36, 2 Hg 3.40-3.42
Hg: 0.5515 0.4027 0.1735  6 Cd 3.10-3.33, 2 Tl 3.20-3.36, 2 Hg 3.40-3.42
Hg: 0.6694 0.2107 0.5809  5 Cd 3.07-3.39, 2 Hg 3.17-3.40, 2 Tl 3.27

D(E_F) ... 2.6 states/eV/f.u.
Size of the total moment ... 0.000 μB/cell
Excess energy over the best structure of this formula in the dataset ... 0.000 eV per atom
Formation enthalpy at 0 K ... 0.018 eV per atom

No. 3
This record from Alexandria describes a geometry-optimized TlCd2Hg structure. The functional is GGA-PBE.

a b c (Å): 9.7217 9.7217 9.7217
angles (deg): 21.09 21.09 21.09
With the nearest neighbours (Å) after each atom.
Atoms (fractional coordinates):
Tl: 0.0000 0.0000 0.0000  6 Cd 3.25, 6 Tl 3.56
Cd: 0.2448 0.2448 0.2448  3 Hg 3.03, 3 Tl 3.25
Cd: 0.7552 0.7552 0.7552  3 Hg 3.03, 3 Tl 3.25
Hg: 0.5000 0.5000 0.5000  6 Cd 3.03

D(E_F) ... 1.2 states/eV/f.u.
Size of the total moment ... 0.000 μB/cell
Excess energy over the best structure of this formula in the dataset ... 0.008 eV per atom
Formation enthalpy at 0 K ... 0.028 eV per atom

No. 4
This record from Alexandria describes a geometry-optimized Tl7Cd4Hg structure. The functional is GGA-PBE.

a b c (Å): 3.5895 3.5895 30.6391
angles (deg): 90.00 90.00 120.00
With the nearest neighbours (Å) after each atom.
Atoms (fractional coordinates):
Tl: 0.0000 0.0000 0.0000  6 Cd 3.23, 6 Tl 3.59
Tl: 0.0000 0.0000 0.2536  3 Cd 3.25, 9 Tl 3.48-3.59
Tl: 0.0000 0.0000 0.7464  3 Cd 3.25, 9 Tl 3.48-3.59
Tl: 0.3333 0.6667 0.1623  3 Cd 3.24, 9 Tl 3.48-3.59
Tl: 0.3333 0.6667 0.4166  3 Cd 3.24, 3 Hg 3.29, 6 Tl 3.59
Tl: 0.6667 0.3333 0.5834  3 Cd 3.24, 3 Hg 3.29, 6 Tl 3.59
Tl: 0.6667 0.3333 0.8377  3 Cd 3.24, 9 Tl 3.48-3.59
Cd: 0.3333 0.6667 0.6648  6 Tl 3.24-3.25, 6 Cd 3.59
Cd: 0.3333 0.6667 0.9190  6 Tl 3.23-3.24, 6 Cd 3.59
Cd: 0.6667 0.3333 0.0810  6 Tl 3.23-3.24, 6 Cd 3.59
Cd: 0.6667 0.3333 0.3352  6 Tl 3.24-3.25, 6 Cd 3.59
Hg: 0.0000 0.0000 0.5000  6 Tl 3.29, 6 Hg 3.59

D(E_F) ... 7.1 states/eV/f.u.
Size of the total moment ... 0.000 μB/cell
Formation enthalpy at 0 K ... 0.045 eV per atom

No. 5
This record from Alexandria describes a geometry-optimized Tl12Cd5Hg2 structure. The functional is GGA-PBE.

a b c (Å): 8.2696 8.2696 8.6116
angles (deg): 102.75 102.75 79.41
With the nearest neighbours (Å) after each atom.
Atoms (fractional coordinates):
Tl: 0.0946 0.0946 0.1884  2 Cd 3.24-3.30, 8 Tl 3.37-3.62
Tl: 0.1318 0.5171 0.6865  2 Cd 3.16-3.34, 1 Hg 3.17, 2 Tl 3.45-3.48
Tl: 0.1342 0.6565 0.1080  3 Cd 3.12-3.36, 1 Hg 3.26
Tl: 0.3435 0.8658 0.8920  3 Cd 3.12-3.36, 1 Hg 3.26
Tl: 0.3688 0.3688 0.3549  2 Hg 3.23, 4 Tl 3.37-3.56, 1 Cd 3.38
Tl: 0.4829 0.8682 0.3135  2 Cd 3.16-3.34, 1 Hg 3.17, 2 Tl 3.45-3.48
Tl: 0.5171 0.1318 0.6865  2 Cd 3.16-3.34, 1 Hg 3.17, 2 Tl 3.45-3.48
Tl: 0.6312 0.6312 0.6451  2 Hg 3.23, 4 Tl 3.37-3.56, 1 Cd 3.38
Tl: 0.6565 0.1342 0.1080  3 Cd 3.12-3.36, 1 Hg 3.26
Tl: 0.8658 0.3435 0.8920  3 Cd 3.12-3.36, 1 Hg 3.26
Tl: 0.8682 0.4829 0.3135  2 Cd 3.16-3.34, 1 Hg 3.17, 2 Tl 3.45-3.48
Tl: 0.9054 0.9054 0.8116  2 Cd 3.24-3.30, 8 Tl 3.37-3.62
Cd: 0.1269 0.1269 0.5754  2 Hg 3.02, 2 Cd 3.12-3.16, 3 Tl 3.16-3.24
Cd: 0.2555 0.2555 0.9488  2 Cd 3.01-3.16, 7 Tl 3.12-3.36
Cd: 0.5000 0.5000 0.0000  2 Cd 3.01, 4 Tl 3.31
Cd: 0.7445 0.7445 0.0512  2 Cd 3.01-3.16, 7 Tl 3.12-3.36
Cd: 0.8731 0.8731 0.4246  2 Hg 3.02, 2 Cd 3.12-3.16, 3 Tl 3.16-3.24
Hg: 0.2450 0.7550 0.5000  2 Cd 3.02, 6 Tl 3.17-3.26
Hg: 0.7550 0.2450 0.5000  2 Cd 3.02, 6 Tl 3.17-3.26

D(E_F) ... 7.0 states/eV/f.u.
Size of the total moment ... 0.000 μB/cell
Formation enthalpy at 0 K ... 0.034 eV per atom

No. 6
This record from Alexandria describes a geometry-optimized Tl2Cd4Hg3 structure. The functional is GGA-PBE.

a b c (Å): 9.3510 9.3510 8.6507
angles (deg): 90.00 90.00 140.33
With the nearest neighbours (Å) after each atom.
Atoms (fractional coordinates):
Tl: 0.0949 0.9051 0.8960  5 Hg 3.45-3.81, 7 Cd 3.47-3.60, 1 Tl 3.79
Tl: 0.4051 0.5949 0.3960  5 Hg 3.45-3.81, 7 Cd 3.47-3.60, 1 Tl 3.79
Tl: 0.5949 0.4051 0.6040  5 Hg 3.45-3.81, 7 Cd 3.47-3.60, 1 Tl 3.79
Tl: 0.9051 0.0949 0.1040  5 Hg 3.45-3.81, 7 Cd 3.47-3.60, 1 Tl 3.79
Cd: 0.1709 0.8291 0.5090  5 Hg 3.00-3.05, 2 Cd 3.24
Cd: 0.1768 0.3232 0.7500  3 Hg 2.97-3.04, 4 Cd 3.17-3.24
Cd: 0.3232 0.1768 0.2500  3 Hg 2.97-3.04, 4 Cd 3.17-3.24
Cd: 0.3291 0.6709 0.0090  5 Hg 3.00-3.05, 2 Cd 3.24
Cd: 0.6709 0.3291 0.9910  5 Hg 3.00-3.05, 2 Cd 3.24
Cd: 0.6768 0.8232 0.7500  3 Hg 2.97-3.04, 4 Cd 3.17-3.24
Cd: 0.8232 0.6768 0.2500  3 Hg 2.97-3.04, 4 Cd 3.17-3.24
Cd: 0.8291 0.1709 0.4910  5 Hg 3.00-3.05, 2 Cd 3.24
Hg: 0.0000 0.0000 0.5000  6 Cd 2.97-3.01
Hg: 0.0038 0.4962 0.7500  5 Cd 3.00-3.05, 2 Hg 3.17
Hg: 0.4962 0.0038 0.2500  5 Cd 3.00-3.05, 2 Hg 3.17
Hg: 0.5000 0.5000 0.0000  6 Cd 2.97-3.01
Hg: 0.5038 0.9962 0.7500  5 Cd 3.00-3.05, 2 Hg 3.17
Hg: 0.9962 0.5038 0.2500  5 Cd 3.00-3.05, 2 Hg 3.17

D(E_F) ... 3.5 states/eV/f.u.
Size of the total moment ... 0.000 μB/cell
Excess energy over the best structure of this formula in the dataset ... 0.000 eV per atom
Formation enthalpy at 0 K ... 0.023 eV per atom